[1]
An optimized crystal structure of Y3Ho2Hg4, computed with PBE.

POSCAR file:
```
Y3Ho2Hg4
1.0
3.482 -9.066 0.000
3.482 9.066 0.000
0.000 0.000 7.931
Y Ho Hg
6 4 8
direct
0.000 0.000 0.000
0.011 0.489 0.250
0.489 0.011 0.750
0.500 0.500 0.500
0.511 0.989 0.250
0.989 0.511 0.750
0.094 0.906 0.414
0.406 0.594 0.914
0.594 0.406 0.086
0.906 0.094 0.586
0.165 0.835 0.035
0.182 0.318 0.250
0.318 0.182 0.750
0.335 0.665 0.535
0.665 0.335 0.465
0.682 0.818 0.250
0.818 0.682 0.750
0.835 0.165 0.965
```

## Properties
Formation enthalpy at 0 K, eV per atom: -0.32


[2]
An optimized crystal structure of Rb2TlSiTe4, computed with PBE.

POSCAR file:
```
Rb2TlSiTe4
1.0
-3.687 6.033 6.778
3.687 -6.033 6.778
3.687 6.033 -6.778
Rb Tl Si Te
4 2 2 8
direct
0.000 0.000 0.000
0.500 0.000 0.000
0.500 0.000 0.500
0.500 0.500 0.500
0.000 0.500 0.500
0.500 0.500 0.000
0.000 0.000 0.500
0.000 0.500 0.000
0.166 0.749 0.417
0.167 0.251 0.917
0.232 0.276 0.544
0.232 0.688 0.956
0.768 0.312 0.044
0.768 0.724 0.456
0.833 0.749 0.083
0.834 0.251 0.583
```

## Properties
E_form (uncorrected), eV/f.u.: -2.41


[3]
An optimized crystal structure of HoRh2Pb2, computed with PBE.

POSCAR file:
```
HoRh2Pb2
1.0
4.576 0.000 0.000
0.000 4.723 0.000
0.000 0.000 10.317
Ho Rh Pb
2 4 4
direct
0.250 0.250 0.172
0.750 0.750 0.828
0.250 0.750 0.000
0.250 0.750 0.325
0.750 0.250 0.000
0.750 0.250 0.675
0.250 0.250 0.495
0.250 0.250 0.828
0.750 0.750 0.172
0.750 0.750 0.505
```

## Properties
Formation enthalpy at 0 K, eV per atom: -0.44


[4]
An optimized crystal structure of KLiPuBr4, computed with PBE.

POSCAR file:
```
KLiPuBr4
1.0
7.100 0.000 0.000
0.000 7.354 0.000
-2.898 0.000 8.640
K Li Pu Br
2 2 2 8
direct
0.241 0.250 0.440
0.759 0.750 0.560
0.262 0.750 0.182
0.738 0.250 0.818
0.294 0.250 0.952
0.706 0.750 0.048
0.043 0.750 0.912
0.054 0.750 0.351
0.488 0.503 0.775
0.488 0.997 0.775
0.512 0.003 0.225
0.512 0.497 0.225
0.946 0.250 0.649
0.957 0.250 0.088
```

## Properties
E_form (uncorrected), eV/f.u.: -10.54


These records have E values of -3.629 -3.088 -5.782 -4.939 eV/atom, in the order they appear.